Zn2PtPb2: relaxed, GGA-PBE.

Computed properties:
- final energy (eV/atom) = -3.21
- energy of formation from the pure elements (eV/atom) = -0.01
- polymorph energy (0 for the lowest one) (eV per formula unit) = 0.00

abc: 6.7968 6.7968 4.6767
angles: 90.00 90.00 90.00
Positions (direct):
Pb: 0.1788 0.6788 0.5000
Pb: 0.6788 0.8212 0.5000
Pb: 0.8212 0.3212 0.5000
Pb: 0.3212 0.1788 0.5000
Zn: 0.3611 0.8611 0.0000
Zn: 0.8611 0.6389 0.0000
Zn: 0.6389 0.1389 0.0000
Zn: 0.1389 0.3611 0.0000
Pt: 0.0000 0.0000 0.0000
Pt: 0.5000 0.5000 0.0000